1.
Density functional theory data (PBE-GGA) for a relaxed K3YNp2O9 crystal.

Cell lengths 6.080, 6.080, 7.449 Å; angles 90.00, 90.00, 120.00 degrees
Sites, in units of the cell vectors:
Y (0.000, 0.000, 0.500)
K (0.333, 0.667, 0.662)
O (0.351, 0.175, 0.678)
K (0.000, 0.000, 0.000)
Np (0.667, 0.333, 0.833)
Np (0.333, 0.667, 0.167)
O (0.500, 0.000, 0.000)
K (0.667, 0.333, 0.338)
O (0.825, 0.649, 0.678)
O (0.175, 0.351, 0.322)
O (0.500, 0.500, 0.000)
O (0.825, 0.175, 0.678)
O (0.000, 0.500, 0.000)
O (0.649, 0.825, 0.322)
O (0.175, 0.825, 0.322)

## Properties
The symmetry is P-3m1 (164). The calculation puts the formation energy without anion corrections at -2.72 eV/atom.

=====

2.
Density functional theory data (PBE-GGA) for a relaxed K4YNp3O12 crystal.

Cell lengths 7.443, 7.443, 7.443 Å; angles 109.47, 109.47, 109.47 degrees
Sites, in units of the cell vectors:
K (0.500, 0.000, 0.000)
Np (0.500, 0.500, 0.000)
Y (0.000, 0.000, 0.000)
O (0.500, 0.750, 0.250)
O (0.000, 0.734, 0.734)
O (0.750, 0.250, 0.500)
O (0.250, 0.500, 0.750)
K (0.000, 0.000, 0.500)
O (0.750, 0.500, 0.250)
Np (0.000, 0.500, 0.500)
Np (0.500, 0.000, 0.500)
O (0.000, 0.266, 0.266)
O (0.250, 0.750, 0.500)
O (0.734, 0.000, 0.734)
K (0.500, 0.500, 0.500)
K (0.000, 0.500, 0.000)
O (0.500, 0.250, 0.750)
O (0.734, 0.734, 0.000)
O (0.266, 0.266, 0.000)
O (0.266, 0.000, 0.266)

## Properties
The symmetry is Im-3m (229). The calculation puts the formation energy without anion corrections at -2.73 eV/atom.

=====

3.
Density functional theory data (PBE-GGA) for a relaxed KY2NpO6 crystal.

Cell lengths 5.954, 5.954, 6.268 Å; angles 61.64, 61.64, 60.00 degrees
Sites, in units of the cell vectors:
Np (0.321, 0.321, 0.038)
O (0.258, 0.928, 0.219)
K (0.786, 0.786, 0.643)
O (0.706, 0.188, 0.765)
O (0.188, 0.342, 0.765)
Y (0.011, 0.011, 0.966)
O (0.596, 0.258, 0.219)
Y (0.527, 0.527, 0.418)
O (0.342, 0.706, 0.765)
O (0.928, 0.596, 0.219)

## Properties
The symmetry is R3 (146). The calculation puts the formation energy without anion corrections at -3.02 eV/atom.

=====

4.
Density functional theory data (PBE-GGA) for a relaxed K4Y3NpO8 crystal.

Cell lengths 7.020, 7.477, 7.020 Å; angles 118.00, 120.00, 90.00 degrees
Sites, in units of the cell vectors:
Y (0.500, 0.500, 0.500)
O (0.770, 0.312, 0.043)
O (0.271, 0.314, 0.543)
O (0.230, 0.688, 0.957)
K (0.000, 0.000, 0.500)
K (0.000, 0.000, 0.000)
O (0.770, 0.312, 0.539)
O (0.230, 0.688, 0.461)
Y (0.000, 0.500, 0.500)
Y (0.500, 0.500, 0.000)
K (0.500, 0.000, 0.500)
K (0.500, 0.000, 0.000)
O (0.729, 0.686, 0.457)
O (0.727, 0.688, 0.957)
O (0.273, 0.312, 0.043)
Np (0.000, 0.500, 0.000)

## Properties
The symmetry is R-3m (166). The calculation puts the formation energy without anion corrections at -2.60 eV/atom.

=====

5.
Density functional theory data (PBE-GGA) for a relaxed K2Y2NpO6 crystal.

Cell lengths 6.039, 6.039, 6.681 Å; angles 98.63, 98.63, 120.04 degrees
Sites, in units of the cell vectors:
O (0.950, 0.615, 0.325)
O (0.259, 0.259, 0.328)
Y (0.334, 0.666, 0.500)
K (0.169, 0.831, 0.000)
O (0.615, 0.950, 0.325)
Np (0.000, 0.000, 0.500)
Y (0.666, 0.334, 0.500)
O (0.741, 0.741, 0.672)
O (0.385, 0.050, 0.675)
K (0.831, 0.169, 0.000)
O (0.050, 0.385, 0.675)

## Properties
The symmetry is C2/m (12). The calculation puts the formation energy without anion corrections at -2.80 eV/atom.

=====

6.
Density functional theory data (PBE-GGA) for a relaxed KNp2ZnO8 crystal.

Cell lengths 5.105, 5.103, 7.044 Å; angles 88.02, 88.03, 83.71 degrees
Sites, in units of the cell vectors:
Np (0.504, 0.504, 0.241)
O (0.672, 0.673, 0.013)
Np (0.496, 0.496, 0.759)
O (0.222, 0.785, 0.790)
K (0.000, 0.000, 0.500)
O (0.786, 0.223, 0.789)
O (0.342, 0.341, 0.468)
Zn (0.000, 0.000, 0.000)
O (0.214, 0.777, 0.211)
O (0.778, 0.215, 0.210)
O (0.658, 0.659, 0.532)
O (0.328, 0.327, 0.987)

## Properties
The symmetry is P-1 (2). The calculation puts the formation energy without anion corrections at -2.27 eV/atom.

=====

7.
Density functional theory data (PBE-GGA) for a relaxed K2NpZn2O6 crystal.

Cell lengths 5.490, 5.490, 6.335 Å; angles 90.00, 90.00, 120.00 degrees
Sites, in units of the cell vectors:
O (0.677, 0.000, 0.822)
O (0.000, 0.677, 0.822)
K (0.333, 0.667, 0.500)
K (0.667, 0.333, 0.500)
Np (0.000, 0.000, 0.000)
O (0.677, 0.677, 0.178)
Zn (0.333, 0.667, 0.000)
O (0.323, 0.323, 0.822)
Zn (0.667, 0.333, 0.000)
O (0.000, 0.323, 0.178)
O (0.323, 0.000, 0.178)

## Properties
The symmetry is P-31m (162). The calculation puts the formation energy without anion corrections at -1.96 eV/atom.

=====

8.
Density functional theory data (PBE-GGA) for a relaxed KNpZnO4 crystal.

Cell lengths 6.320, 6.995, 6.948 Å; angles 119.78, 90.00, 116.86 degrees
Sites, in units of the cell vectors:
O (0.714, 0.018, 0.759)
K (0.168, 0.335, 0.918)
O (0.304, 0.018, 0.759)
Np (0.500, 0.000, 0.000)
Zn (0.500, 0.500, 0.500)
O (0.286, 0.982, 0.241)
Np (0.500, 0.000, 0.500)
O (0.704, 0.408, 0.645)
O (0.704, 0.408, 0.263)
O (0.296, 0.592, 0.355)
K (0.832, 0.665, 0.082)
O (0.696, 0.982, 0.241)
Zn (0.000, 0.500, 0.500)
O (0.296, 0.592, 0.737)

## Properties
The symmetry is Imma (74). The calculation puts the formation energy without anion corrections at -2.14 eV/atom.

=====

9.
Density functional theory data (PBE-GGA) for a relaxed KNpZnO5 crystal.

Cell lengths 6.138, 6.138, 8.121 Å; angles 105.91, 105.91, 105.07 degrees
Sites, in units of the cell vectors:
K (0.329, 0.671, 0.250)
O (0.941, 0.059, 0.750)
O (0.657, 0.778, 0.898)
Np (0.000, 0.000, 0.500)
O (0.728, 0.107, 0.402)
O (0.272, 0.893, 0.598)
O (0.893, 0.272, 0.098)
O (0.222, 0.343, 0.602)
Zn (0.308, 0.692, 0.750)
O (0.107, 0.728, 0.902)
Np (0.000, 0.000, 0.000)
Zn (0.692, 0.308, 0.250)
O (0.778, 0.657, 0.398)
O (0.059, 0.941, 0.250)
K (0.671, 0.329, 0.750)
O (0.343, 0.222, 0.102)

## Properties
The symmetry is C2/c (15). The calculation puts the formation energy without anion corrections at -2.17 eV/atom.

=====

10.
Density functional theory data (PBE-GGA) for a relaxed K3NpZn2O8 crystal.

Cell lengths 5.920, 5.920, 7.841 Å; angles 90.00, 90.00, 120.00 degrees
Sites, in units of the cell vectors:
Zn (0.333, 0.667, 0.239)
O (0.160, 0.320, 0.349)
O (0.667, 0.333, 0.000)
O (0.840, 0.680, 0.651)
Zn (0.667, 0.333, 0.761)
O (0.320, 0.160, 0.651)
K (0.333, 0.667, 0.666)
O (0.333, 0.667, 0.000)
Np (0.000, 0.000, 0.500)
O (0.160, 0.840, 0.349)
O (0.680, 0.840, 0.349)
K (0.667, 0.333, 0.334)
O (0.840, 0.160, 0.651)
K (0.000, 0.000, 0.000)

## Properties
The symmetry is P-3m1 (164). The calculation puts the formation energy without anion corrections at -1.66 eV/atom.

=====

11.
Density functional theory data (PBE-GGA) for a relaxed K2NpZnO6 crystal.

Cell lengths 5.857, 5.856, 5.835 Å; angles 59.93, 59.92, 90.05 degrees
Sites, in units of the cell vectors:
O (0.742, 0.742, 0.000)
O (0.258, 0.258, 0.000)
K (0.250, 0.750, 0.500)
Np (0.500, 0.500, 0.000)
O (0.742, 0.258, 0.000)
Zn (0.000, 0.000, 0.000)
O (0.258, 0.742, 0.000)
O (0.255, 0.255, 0.490)
O (0.745, 0.745, 0.510)
K (0.750, 0.250, 0.500)

## Properties
The symmetry is I4/mmm (139). The calculation puts the formation energy without anion corrections at -1.94 eV/atom.

=====

12.
Density functional theory data (PBE-GGA) for a relaxed KZrNp2O8 crystal.

Cell lengths 5.083, 5.080, 7.010 Å; angles 90.00, 90.00, 87.59 degrees
Sites, in units of the cell vectors:
Np (0.500, 0.500, 0.753)
Np (0.500, 0.500, 0.247)
O (0.700, 0.700, 0.000)
O (0.664, 0.664, 0.500)
O (0.216, 0.785, 0.213)
O (0.784, 0.215, 0.213)
O (0.216, 0.785, 0.787)
O (0.784, 0.215, 0.787)
O (0.336, 0.336, 0.500)
Zr (0.000, 0.000, 0.000)
O (0.300, 0.300, 0.000)
K (0.000, 0.000, 0.500)

## Properties
The symmetry is Cmmm (65). The calculation puts the formation energy without anion corrections at -2.76 eV/atom.